[1]
First-principles (PBE-GGA) data for a relaxed AsRh2Br crystal, as listed in Alexandria via LeMat-Bulk.

## Properties
polymorph energy (0 for the lowest one): 478 meV per atom
magnetic moment: 0.000 Bohr magnetons per cell
total energy: -4.9707 eV per atom

a = 4.545 Å, b = 4.545 Å, c = 3.144 Å
α = 90.00°, β = 90.00°, γ = 90.00°
Space group P4/mmm (No. 123)
Inequivalent atoms, fractional coordinates:
As: 0.000 0.000 0.000 [1 per cell]
Rh: 0.000 0.500 0.500 [2 per cell]
Br: 0.500 0.500 0.000 [1 per cell]



[2]
First-principles (PBE-GGA) data for a relaxed As2RhBr crystal, as listed in Alexandria via LeMat-Bulk.

## Properties
polymorph energy (0 for the lowest one): 63 meV per atom
magnetic moment: 0.000 Bohr magnetons per cell
total energy: -4.6650 eV per atom

a = 2.821 Å, b = 3.578 Å, c = 8.475 Å
α = 90.00°, β = 90.00°, γ = 90.00°
Space group Pmmm (No. 47)
Inequivalent atoms, fractional coordinates:
As: 0.000 0.000 0.163 [2 per cell]
Rh: 0.500 0.500 0.000 [1 per cell]
Br: 0.500 0.500 0.500 [1 per cell]



[3]
First-principles (PBE-GGA) data for a relaxed AsRh2Br crystal, as listed in Alexandria via LeMat-Bulk.

## Properties
polymorph energy (0 for the lowest one): 605 meV per atom
magnetic moment: 0.000 Bohr magnetons per cell
total energy: -4.8438 eV per atom

a = 3.063 Å, b = 4.138 Å, c = 5.476 Å
α = 90.00°, β = 90.00°, γ = 90.00°
Space group Pmmm (No. 47)
Inequivalent atoms, fractional coordinates:
As: 0.000 0.000 0.000 [1 per cell]
Rh: 0.000 0.500 0.500 [1 per cell]
Rh: 0.500 0.500 0.000 [1 per cell]
Br: 0.500 0.000 0.500 [1 per cell]



[4]
First-principles (PBE-GGA) data for a relaxed As2RhBr crystal, as listed in Alexandria via LeMat-Bulk.

## Properties
polymorph energy (0 for the lowest one): 3 meV per atom
magnetic moment: 0.000 Bohr magnetons per cell
total energy: -4.7243 eV per atom

a = 8.576 Å, b = 3.453 Å, c = 7.145 Å
α = 90.00°, β = 107.72°, γ = 90.00°
Space group Cm (No. 8)
Inequivalent atoms, fractional coordinates:
As: 0.000 0.000 0.000 [2 per cell]
As: 0.148 0.000 0.775 [2 per cell]
Rh: 0.226 0.500 0.058 [2 per cell]
Br: 0.341 0.000 0.347 [2 per cell]



[5]
First-principles (PBE-GGA) data for a relaxed AsRh2Br crystal, as listed in Alexandria via LeMat-Bulk.

## Properties
polymorph energy (0 for the lowest one): 269 meV per atom
magnetic moment: 0.000 Bohr magnetons per cell
total energy: -5.1801 eV per atom

a = 4.394 Å, b = 4.410 Å, c = 6.950 Å
α = 90.00°, β = 90.00°, γ = 90.00°
Space group Cmmm (No. 65)
Inequivalent atoms, fractional coordinates:
As: 0.000 0.000 0.000 [2 per cell]
Rh: 0.000 0.500 0.200 [4 per cell]
Br: 0.000 0.000 0.500 [2 per cell]



[6]
First-principles (PBE-GGA) data for a relaxed AsRhBr2 crystal, as listed in Alexandria via LeMat-Bulk.

## Properties
polymorph energy (0 for the lowest one): 1086 meV per atom
magnetic moment: 0.373 Bohr magnetons per cell
total energy: -3.1804 eV per atom

a = 3.368 Å, b = 3.368 Å, c = 7.025 Å
α = 90.00°, β = 90.00°, γ = 90.00°
Space group P4/mmm (No. 123)
Inequivalent atoms, fractional coordinates:
As: 0.000 0.000 0.000 [1 per cell]
Rh: 0.000 0.000 0.500 [1 per cell]
Br: 0.500 0.500 0.272 [2 per cell]



[7]
First-principles (PBE-GGA) data for a relaxed AsRh2Br crystal, as listed in Alexandria via LeMat-Bulk.

## Properties
polymorph energy (0 for the lowest one): 175 meV per atom
magnetic moment: 0.000 Bohr magnetons per cell
total energy: -5.2732 eV per atom

a = 3.205 Å, b = 3.050 Å, c = 7.241 Å
α = 90.00°, β = 90.08°, γ = 90.00°
Space group P2/m (No. 10)
Inequivalent atoms, fractional coordinates:
As: 0.000 0.000 0.000 [1 per cell]
Rh: 0.499 0.500 0.811 [2 per cell]
Br: 0.500 0.000 0.500 [1 per cell]



[8]
First-principles (PBE-GGA) data for a relaxed As2RhBr crystal, as listed in Alexandria via LeMat-Bulk.

## Properties
polymorph energy (0 for the lowest one): 641 meV per atom
magnetic moment: 0.000 Bohr magnetons per cell
total energy: -4.0863 eV per atom

a = 5.384 Å, b = 8.403 Å, c = 3.304 Å
α = 90.00°, β = 90.00°, γ = 90.00°
Space group Cmmm (No. 65)
Inequivalent atoms, fractional coordinates:
As: 0.250 0.250 0.000 [4 per cell]
Rh: 0.000 0.000 0.500 [2 per cell]
Br: 0.000 0.500 0.500 [2 per cell]



[9]
First-principles (PBE-GGA) data for a relaxed AsRh2Br crystal, as listed in Alexandria via LeMat-Bulk.

## Properties
polymorph energy (0 for the lowest one): 457 meV per atom
magnetic moment: 1.631 Bohr magnetons per cell
total energy: -4.9914 eV per atom

a = 6.372 Å, b = 6.372 Å, c = 6.372 Å
α = 90.00°, β = 90.00°, γ = 90.00°
Space group Fm-3m (No. 225)
Inequivalent atoms, fractional coordinates:
As: 0.000 0.000 0.000 [4 per cell]
Rh: 0.250 0.250 0.250 [8 per cell]
Br: 0.000 0.000 0.500 [4 per cell]



[10]
First-principles (PBE-GGA) data for a relaxed As2RhBr crystal, as listed in Alexandria via LeMat-Bulk.

## Properties
polymorph energy (0 for the lowest one): 52 meV per atom
magnetic moment: 0.000 Bohr magnetons per cell
total energy: -4.6761 eV per atom

a = 3.964 Å, b = 3.824 Å, c = 6.961 Å
α = 90.00°, β = 95.87°, γ = 90.00°
Space group Pm (No. 6)
Inequivalent atoms, fractional coordinates:
As: 0.000 0.000 0.000 [1 per cell]
As: 0.434 0.500 0.986 [1 per cell]
Rh: 0.871 0.500 0.764 [1 per cell]
Br: 0.696 0.000 0.526 [1 per cell]



[11]
First-principles (PBE-GGA) data for a relaxed AsRhBr2 crystal, as listed in Alexandria via LeMat-Bulk.

## Properties
polymorph energy (0 for the lowest one): 0 meV per atom
magnetic moment: 0.000 Bohr magnetons per cell
total energy: -4.2669 eV per atom

a = 6.500 Å, b = 3.753 Å, c = 8.523 Å
α = 90.00°, β = 90.48°, γ = 90.00°
Space group Cm (No. 8)
Inequivalent atoms, fractional coordinates:
As: 0.000 0.000 0.000 [2 per cell]
Rh: 0.165 0.500 0.875 [2 per cell]
Br: 0.003 0.000 0.275 [2 per cell]
Br: 0.330 0.000 0.688 [2 per cell]



[12]
First-principles (PBE-GGA) data for a relaxed As2RhBr crystal, as listed in Alexandria via LeMat-Bulk.

## Properties
polymorph energy (0 for the lowest one): 48 meV per atom
magnetic moment: 0.000 Bohr magnetons per cell
total energy: -4.6799 eV per atom

a = 3.6188 Å, b = 3.6188 Å, c = 21.8759 Å
α = 90.00°, β = 90.00°, γ = 120.00°
Space group R-3m (No. 166, hexagonal axes)
Inequivalent atoms, fractional coordinates:
As: 0.0000 0.0000 0.2303 [6 per cell]
Rh: 0.0000 0.0000 0.5000 [3 per cell]
Br: 0.0000 0.0000 0.0000 [3 per cell]



- What is the formula in the first record?
  AsRh2Br



- Look up the magnetic moment of the second one.
  0.000 Bohr magnetons per cell



- Which formula does entry 1 have?
  AsRh2Br



- Which of these has the highest magnetic moment?
  number 9